[1]
This record from Alexandria via LeMat-Bulk describes a relaxed LaPrNdTh crystal. The functional is PBE.

Cell and atoms, written as extended XYZ:
```
4
Lattice="-2.380 -0.240 5.322 -3.926 -4.130 1.257 1.401 -4.349 3.630" Properties=species:S:1:pos:R:3 pbc="T T T"
La -1.226 -2.180 2.552
Nd -2.453 -4.359 5.105
Pr -3.679 -6.539 7.657
Th 0.000 0.000 0.000
```

Values from the calculation:
E = -5.270 eV/atom
space group = F-43m
ΔE_f = 203 meV/atom



[2]
This record from Alexandria via LeMat-Bulk describes a relaxed TlCdGaAu crystal. The functional is PBE.

Cell and atoms, written as extended XYZ:
```
4
Lattice="-1.955 2.213 4.064 -4.509 2.198 -0.262 -3.940 -2.065 2.334" Properties=species:S:1:pos:R:3 pbc="T T T"
Au -7.804 1.760 4.601
Tl 0.000 0.000 0.000
Cd -5.203 1.174 3.067
Ga -2.601 0.587 1.534
```

Values from the calculation:
E = -2.352 eV/atom
space group = F-43m
ΔE_f = 44 meV/atom



[3]
This record from Alexandria via LeMat-Bulk describes a relaxed Nb3GaP crystal. The functional is PBE.

Cell and atoms, written as extended XYZ:
```
5
Lattice="4.617 0.000 0.000 0.000 4.617 0.000 0.000 0.000 4.617" Properties=species:S:1:pos:R:3 pbc="T T T"
Nb 0.000 0.000 2.308
Nb 0.000 2.308 0.000
Nb 2.308 0.000 0.000
P 0.000 0.000 0.000
Ga 2.308 2.308 2.308
```

Values from the calculation:
E = -7.520 eV/atom
space group = Pm-3m
ΔE_f = 209 meV/atom



[4]
This record from Alexandria via LeMat-Bulk describes a relaxed LiLa6Hg2 crystal. The functional is PBE.

Cell and atoms, written as extended XYZ:
```
18
Lattice="6.639 0.000 1.056 0.000 9.501 0.000 0.833 0.000 9.216" Properties=species:S:1:pos:R:3 pbc="T T T"
La 4.831 1.446 9.644
La 0.664 2.764 0.641
La 3.072 7.515 4.495
La 3.066 5.178 6.930
La 1.503 0.428 7.422
La 6.377 6.197 5.764
La 4.406 4.322 3.342
La 1.095 3.304 4.508
La 2.641 8.054 0.628
La 4.400 1.986 5.777
La 6.808 6.736 9.631
La 5.969 9.073 2.850
Hg 1.106 5.635 1.945
Hg 6.367 3.866 8.327
Hg 4.842 8.616 7.081
Hg 2.630 0.884 3.191
Li 3.320 4.750 0.528
Li 0.416 0.000 4.608
```

Values from the calculation:
E = -3.716 eV/atom
space group = P2_1/c
ΔE_f = -152 meV/atom



[5]
This record from Alexandria via LeMat-Bulk describes a relaxed Li2VCoI crystal. The functional is PBE.

Cell and atoms, written as extended XYZ:
```
5
Lattice="-1.526 2.261 4.694 -2.295 -3.408 0.896 4.286 -2.236 2.471" Properties=species:S:1:pos:R:3 pbc="T T T"
Li -0.763 1.131 2.347
Li 2.143 -1.118 1.235
I 0.232 -1.691 4.030
V 0.000 0.000 0.000
Co -1.147 -1.704 0.448
```

Values from the calculation:
E = -3.576 eV/atom
E_form (uncorrected) = 0.74 eV/atom
space group = P4/mmm



[6]
This record from Alexandria via LeMat-Bulk describes a relaxed TlSbTeSe3 crystal. The functional is PBE.

Cell and atoms, written as extended XYZ:
```
12
Lattice="4.041 0.000 0.000 0.000 8.922 0.436 0.000 -3.395 11.776" Properties=species:S:1:pos:R:3 pbc="T T T"
Tl 1.010 1.060 2.211
Tl 3.031 4.467 10.001
Te 1.010 -1.417 7.005
Te 3.031 6.944 5.207
Sb 3.031 -0.192 10.834
Sb 1.010 5.719 1.378
Se 1.010 -2.116 10.884
Se 3.031 7.643 1.328
Se 1.010 5.322 4.345
Se 3.031 3.612 1.814
Se 3.031 0.205 7.867
Se 1.010 1.915 10.398
```

Values from the calculation:
E = -3.515 eV/atom
E_form (uncorrected) = -0.17 eV/atom
space group = P2_1/m



> E of number 3 (Nb3GaP)?

-7.520 eV/atom



> The highest E belongs to which entry?

TlCdGaAu



> E of number 4 (LiLa6Hg2)?

-3.716 eV/atom